VASP calculation (GGA-PBE) on crystalline Pm2HoSb2 at its relaxed geometry.

```
Pm2HoSb2
1.0
6.347 0.000 0.000
0.000 8.532 0.000
-3.174 -4.266 5.939
Pm Ho Sb
4 2 4
Cartesian
0.000 1.223 1.797 Pm
3.174 -1.223 1.797 Pm
0.000 5.489 4.142 Pm
3.174 3.043 4.142 Pm
4.761 4.266 0.000 Ho
1.587 4.266 0.000 Ho
0.000 6.644 1.281 Sb
3.174 1.888 1.281 Sb
3.174 -2.378 4.658 Sb
0.000 2.378 4.658 Sb
```

Summary:
**Symmetry**: Ibam (72)

---

VASP calculation (GGA-PBE) on crystalline Pm5Ho2Sb5 at its relaxed geometry.

```
Pm5Ho2Sb5
1.0
4.427 0.000 0.000
-2.214 7.267 -0.293
0.000 -3.951 12.145
Sb Pm Ho
5 5 2
Cartesian
0.000 0.010 5.098 Sb
0.000 0.000 0.000 Sb
0.000 3.680 2.390 Sb
2.214 3.305 6.754 Sb
2.214 -0.364 9.462 Sb
0.000 1.396 7.783 Pm
0.000 1.131 11.485 Pm
2.214 -1.976 6.073 Pm
2.214 2.185 0.367 Pm
2.214 1.920 4.069 Pm
0.000 -2.450 9.559 Ho
2.214 5.765 2.293 Ho
```

Summary:
**Symmetry**: C2/m (12)

---

VASP calculation (GGA-PBE) on crystalline PmHo5Sb6 at its relaxed geometry.

```
PmHo5Sb6
1.0
7.600 0.209 0.000
2.340 7.235 0.000
1.170 3.617 6.586
Ho Sb Pm
5 6 1
Cartesian
4.970 3.722 4.419 Ho
2.340 7.235 4.381 Ho
6.140 7.339 2.167 Ho
4.970 3.722 0.000 Ho
1.170 3.617 2.206 Ho
4.843 9.070 4.361 Sb
3.673 5.453 2.225 Sb
2.505 1.894 0.000 Sb
7.437 5.608 4.361 Sb
7.435 5.549 0.000 Sb
6.267 1.990 2.225 Sb
0.000 0.000 0.000 Pm
```

Summary:
**Symmetry**: C2/m (12)

---

VASP calculation (GGA-PBE) on crystalline PmHo2ScSb4 at its relaxed geometry.

```
PmHo2ScSb4
1.0
-3.439 -2.804 4.288
4.898 -0.280 3.742
-2.229 7.007 -1.644
Sb Ho Sc Pm
4 2 1 1
Cartesian
-0.087 1.295 4.656 Sb
-1.082 -2.750 5.656 Sb
-0.866 3.017 0.719 Sb
3.088 -1.488 5.383 Sb
-2.561 1.525 2.824 Ho
1.607 2.787 2.551 Ho
0.638 -1.348 3.512 Sc
1.368 -2.890 7.527 Pm
```

Summary:
**Symmetry**: I4/mmm (139)

---

VASP calculation (GGA-PBE) on crystalline PmSm2Ho3Sb6 at its relaxed geometry.

```
PmSm2Ho3Sb6
1.0
4.425 0.000 0.000
0.000 8.836 0.325
-2.212 -2.536 9.296
Sb Ho Pm Sm
6 3 1 2
Cartesian
2.212 -0.277 9.352 Sb
0.000 6.453 6.461 Sb
0.000 1.952 6.360 Sb
0.000 6.577 0.269 Sb
2.212 -0.153 3.160 Sb
2.212 4.348 3.261 Sb
0.000 6.516 3.367 Ho
2.212 -0.215 6.254 Ho
2.212 4.418 0.162 Ho
2.212 0.000 0.000 Pm
2.212 4.202 6.412 Sm
0.000 2.098 3.209 Sm
```

Summary:
**Symmetry**: C2/m (12)

---

VASP calculation (GGA-PBE) on crystalline Pm3Sm2HoSb6 at its relaxed geometry.

```
Pm3Sm2HoSb6
1.0
-3.760 -1.991 1.359
3.425 -0.874 8.197
-2.568 9.639 -0.323
Sb Pm Sm Ho
6 3 2 1
Cartesian
-1.372 1.384 5.572 Sb
0.156 4.999 7.758 Sb
-5.489 7.430 3.038 Sb
-1.531 5.390 3.661 Sb
-3.059 1.774 1.475 Sb
2.586 -0.657 6.195 Sb
1.365 2.166 6.952 Pm
-0.168 -1.433 4.778 Pm
-4.268 4.607 2.281 Pm
-0.339 2.580 2.844 Sm
-2.565 4.193 6.389 Sm
-1.880 -0.996 0.679 Ho
```

Summary:
**Symmetry**: C2/m (12)

---

VASP calculation (GGA-PBE) on crystalline Pm2SmHo3Sb6 at its relaxed geometry.

```
Pm2SmHo3Sb6
1.0
4.428 0.000 0.000
0.000 8.844 0.324
-2.214 -2.539 9.303
Pm Ho Sb Sm
2 3 6 1
Cartesian
0.000 2.101 3.206 Pm
2.214 4.204 6.421 Pm
0.000 6.523 3.375 Ho
2.214 -0.218 6.252 Ho
2.214 4.422 0.162 Ho
0.000 6.592 0.279 Sb
2.214 -0.160 3.152 Sb
0.000 1.943 6.369 Sb
2.214 -0.287 9.349 Sb
0.000 6.464 6.475 Sb
2.214 4.362 3.259 Sb
2.214 0.000 0.000 Sm
```

Summary:
**Symmetry**: C2/m (12)

---

VASP calculation (GGA-PBE) on crystalline PmSm2HoSb4 at its relaxed geometry.

```
PmSm2HoSb4
1.0
-3.701 2.239 -1.061
-3.960 -4.078 5.209
0.232 3.609 6.808
Ho Sm Sb Pm
1 2 4 1
Cartesian
-1.864 -0.235 6.008 Ho
-1.734 2.924 2.873 Sm
0.232 3.609 6.808 Sm
-4.745 -1.002 5.091 Sb
-4.638 2.128 1.972 Sb
-2.684 2.772 5.865 Sb
-2.791 -0.358 8.983 Sb
-3.831 -0.920 2.074 Pm
```

Summary:
**Symmetry**: P2/m (10)

---

VASP calculation (GGA-PBE) on crystalline PmHoSnSb at its relaxed geometry.

```
PmHoSnSb
1.0
-0.132 1.800 5.110
-3.954 -1.610 3.339
1.115 -3.375 4.091
Pm Ho Sb Sn
1 1 1 1
Cartesian
-1.485 -1.592 6.270 Pm
0.000 0.000 0.000 Ho
-2.228 -2.388 9.405 Sb
-0.743 -0.796 3.135 Sn
```

Summary:
**Symmetry**: F-43m (216)

---

VASP calculation (GGA-PBE) on crystalline TbPmHo2Sb4 at its relaxed geometry.

```
TbPmHo2Sb4
1.0
-1.923 3.639 1.588
0.763 -2.694 7.101
6.693 2.279 2.883
Ho Sb Tb Pm
2 4 1 1
Cartesian
6.693 2.279 2.883 Ho
2.385 2.959 2.235 Ho
-0.032 3.563 4.053 Sb
1.295 0.359 6.874 Sb
5.566 -0.339 7.518 Sb
4.238 2.864 4.697 Sb
3.728 -0.208 4.992 Tb
-0.580 0.472 4.344 Pm
```

Summary:
**Symmetry**: P2/m (10)

---

VASP calculation (GGA-PBE) on crystalline Tb2Pm3HoSb6 at its relaxed geometry.

```
Tb2Pm3HoSb6
1.0
-3.193 -2.291 2.074
-1.485 -4.646 -7.420
8.326 -4.092 3.538
Ho Sb Pm Tb
1 6 3 2
Cartesian
-1.596 -1.145 1.037 Ho
0.492 -3.270 1.905 Sb
3.844 -5.429 -0.080 Sb
-0.196 -5.600 -1.729 Sb
-0.350 -1.150 -1.808 Sb
3.156 -7.759 -3.713 Sb
3.997 -9.879 0.000 Sb
1.010 -5.621 -4.655 Pm
2.638 -5.408 2.847 Pm
-2.339 -3.468 -2.673 Pm
1.745 -3.290 -0.948 Tb
1.902 -7.738 -0.860 Tb
```

Summary:
**Symmetry**: C2/m (12)

---

VASP calculation (GGA-PBE) on crystalline Tb2PmHoSb4 at its relaxed geometry.

```
Tb2PmHoSb4
1.0
-1.897 -1.242 -3.793
-1.046 -7.032 2.826
-6.786 -0.355 3.511
Sb Tb Pm Ho
4 2 1 1
Cartesian
-3.885 -3.069 -2.201 Sb
-6.276 -2.640 1.429 Sb
-3.454 -5.988 1.114 Sb
-5.845 -5.560 4.744 Sb
-4.342 -0.798 -0.141 Tb
-6.786 -0.355 3.511 Tb
-1.472 -4.137 -0.484 Pm
-3.916 -3.693 3.168 Ho
```

Summary:
**Symmetry**: P2/m (10)

---

VASP calculation (GGA-PBE) on crystalline TbPm2HoSb4 at its relaxed geometry.

```
TbPm2HoSb4
1.0
-3.008 1.100 3.078
-5.408 -3.806 -3.925
3.372 -4.766 4.998
Sb Tb Pm Ho
4 1 2 1
Cartesian
-3.219 -3.998 -1.717 Sb
-2.029 -1.557 1.779 Sb
1.183 -4.574 2.791 Sb
-3.015 -5.915 2.373 Sb
0.000 0.000 0.000 Tb
-1.018 -4.286 0.537 Pm
0.182 -1.833 4.038 Pm
-4.208 -1.353 -0.423 Ho
```

Summary:
**Symmetry**: P2/m (10)

---

VASP calculation (GGA-PBE) on crystalline PmHo3Th2Sb6 at its relaxed geometry.

```
PmHo3Th2Sb6
1.0
-0.917 2.421 3.615
-6.504 -5.622 2.116
8.135 -4.987 2.669
Sb Th Ho Pm
6 2 3 1
Cartesian
5.526 -3.981 6.803 Sb
1.628 -0.498 3.481 Sb
-1.754 -3.343 4.529 Sb
-4.811 -4.206 1.597 Sb
-0.914 -7.689 4.919 Sb
2.468 -4.844 3.871 Sb
0.328 -5.077 6.219 Th
0.387 -3.109 2.181 Th
-2.873 -5.939 3.250 Ho
-3.710 -1.600 2.865 Ho
3.587 -2.247 5.150 Ho
-0.458 1.211 1.807 Pm
```

Summary:
**Symmetry**: C2/m (12)

---

VASP calculation (GGA-PBE) on crystalline Pm2HoTh3Sb6 at its relaxed geometry.

```
Pm2HoTh3Sb6
1.0
4.485 0.000 0.000
0.000 8.932 0.328
-2.243 -2.558 9.420
Th Pm Sb Ho
3 2 6 1
Cartesian
0.000 6.585 3.439 Th
2.243 -0.211 6.309 Th
2.243 4.466 0.164 Th
0.000 2.124 3.246 Pm
2.243 4.250 6.502 Pm
0.000 6.476 6.638 Sb
2.243 -0.102 3.110 Sb
0.000 2.027 6.414 Sb
2.243 -0.383 9.492 Sb
2.243 4.347 3.334 Sb
0.000 6.757 0.256 Sb
2.243 0.000 0.000 Ho
```

Summary:
**Symmetry**: C2/m (12)

---

VASP calculation (GGA-PBE) on crystalline Pm2HoThSb4 at its relaxed geometry.

```
Pm2HoThSb4
1.0
-2.031 -0.633 -3.936
-5.615 -3.995 3.540
-5.638 4.824 2.132
Th Pm Sb Ho
1 2 4 1
Cartesian
-3.823 -2.314 -0.198 Th
-5.638 4.824 2.132 Pm
-3.834 2.095 -0.902 Pm
-6.637 -2.057 1.213 Sb
-4.876 -0.416 -2.503 Sb
-6.647 2.253 0.524 Sb
-8.408 0.612 4.239 Sb
-5.627 0.415 2.836 Ho
```

Summary:
**Symmetry**: P2/m (10)

---

VASP calculation (GGA-PBE) on crystalline Pm3HoTh2Sb6 at its relaxed geometry.

```
Pm3HoTh2Sb6
1.0
-3.318 2.980 -0.482
-5.652 -5.637 4.054
5.302 3.761 7.625
Sb Pm Ho Th
6 3 1 2
Cartesian
-4.266 -4.252 3.080 Sb
-3.741 -0.046 4.590 Sb
0.599 5.356 8.117 Sb
-2.749 -1.656 8.685 Sb
0.073 1.150 6.607 Sb
-0.918 2.760 2.512 Sb
-4.485 -1.328 1.786 Pm
-0.172 4.050 5.347 Pm
-3.496 -2.946 5.850 Pm
-1.659 1.490 -0.241 Ho
-3.000 1.237 7.424 Th
-0.667 -0.133 3.773 Th
```

Summary:
**Symmetry**: C2/m (12)

---

VASP calculation (GGA-PBE) on crystalline PmHo2TmSb4 at its relaxed geometry.

```
PmHo2TmSb4
1.0
4.396 0.000 0.000
0.000 7.607 -0.149
0.000 2.677 7.119
Tm Ho Sb Pm
1 2 4 1
Cartesian
0.000 5.142 3.485 Tm
0.000 2.677 7.119 Ho
2.198 1.339 3.560 Ho
4.396 2.552 1.788 Sb
0.000 7.733 5.182 Sb
2.198 6.395 1.698 Sb
2.198 3.889 5.272 Sb
2.198 3.804 -0.075 Pm
```

Summary:
**Symmetry**: P2/m (10)

---

VASP calculation (GGA-PBE) on crystalline Pm2HoTm3Sb6 at its relaxed geometry.

```
Pm2HoTm3Sb6
1.0
4.396 0.000 0.000
0.000 8.780 0.322
-2.198 -2.520 9.235
Sb Tm Ho Pm
6 3 1 2
Cartesian
2.198 4.343 3.227 Sb
2.198 -0.174 3.102 Sb
0.000 6.571 0.297 Sb
2.198 -0.311 9.260 Sb
0.000 6.433 6.455 Sb
0.000 1.917 6.330 Sb
0.000 6.474 3.367 Tm
2.198 4.390 0.161 Tm
2.198 -0.215 6.190 Tm
2.198 0.000 0.000 Ho
2.198 4.177 6.385 Pm
0.000 2.083 3.173 Pm
```

Summary:
**Symmetry**: C2/m (12)

---

VASP calculation (GGA-PBE) on crystalline Pm2HoTmSb4 at its relaxed geometry.

```
Pm2HoTmSb4
1.0
4.427 0.000 0.000
0.000 7.663 0.132
0.000 -2.679 7.171
Sb Tm Ho Pm
4 1 1 2
Cartesian
2.214 1.239 1.755 Sb
0.000 -0.103 5.475 Sb
2.214 3.744 5.548 Sb
0.000 5.086 1.828 Sb
0.000 0.000 0.000 Tm
2.214 3.831 0.066 Ho
0.000 2.492 3.651 Pm
2.214 -1.340 3.585 Pm
```

Summary:
**Symmetry**: P2/m (10)

---

Record order is preserved below.
Formation energy (no corrections): -0.844; -0.902; -1.123; -1.065; -1.146; -1.170; -1.147; -1.160; -0.640; -1.138; -1.161; -1.146; -1.157; -1.065; -1.042; -1.114; -1.093; -1.115; -1.111; -1.136 eV per atom